CaCo2GeO4 | PBE+U | optimized geometry

a b c (Å): 5.6055 5.6055 6.3137
angles (deg): 90.00 90.00 90.00
With the nearest neighbours (Å) after each atom.
Space group I-42m (No. 121)
Symmetry-distinct sites (fractional):
Ca 0.0000 0.0000 0.0000  8 O 2.51-2.76
Co 0.0000 0.5000 0.2500  4 O 2.11
Ge 0.0000 0.0000 0.5000  4 O 1.80
O 0.1804 0.1804 0.6725  1 Ge 1.80

- Crystal system: tetragonal
- E_tot: -0.218 hartree per atom
- Total magnetization: 8.084 Bohr magnetons per cell